Entry 1:
The following is a DFT calculation (PBE) of a relaxed Ca3Zn crystal.

Calculated values
Distance to the lowest polymorph of the same formula   0.050 eV per atom
Magnetic moment   0.00 μB/cell
SG   Cmcm (63)
Calculated formation energy   -77 meV per atom

Cell lengths 9.9149, 12.8283, 4.3853 Å; angles 90.00, 90.00, 90.00 degrees
Atoms (fractional coordinates):
Ca 0.0000 0.1139 0.2500
Ca 0.0000 0.8861 0.7500
Ca 0.1935 0.3719 0.2500
Ca 0.1935 0.6281 0.7500
Ca 0.3065 0.1281 0.7500
Ca 0.3065 0.8719 0.2500
Ca 0.5000 0.3861 0.7500
Ca 0.5000 0.6139 0.2500
Ca 0.6935 0.1281 0.7500
Ca 0.6935 0.8719 0.2500
Ca 0.8065 0.3719 0.2500
Ca 0.8065 0.6281 0.7500
Zn 0.0000 0.2786 0.7500
Zn 0.0000 0.7214 0.2500
Zn 0.5000 0.2214 0.2500
Zn 0.5000 0.7786 0.7500

=====

Entry 2:
The following is a DFT calculation (PBE) of a relaxed LiSmDy2 crystal.

Calculated values
Distance to the lowest polymorph of the same formula   0.000 eV per atom
Magnetic moment   0.00 μB/cell
SG   P4/mmm (123)
Calculated formation energy   75 meV per atom

Cell lengths 3.6393, 3.6393, 8.7825 Å; angles 90.00, 90.00, 90.00 degrees
Atoms (fractional coordinates):
Li 0.0000 0.0000 0.0000
Sm 0.0000 0.0000 0.5000
Dy 0.5000 0.5000 0.2179
Dy 0.5000 0.5000 0.7821

=====

Entry 3:
The following is a DFT calculation (PBE) of a relaxed GdYAu crystal.

Calculated values
Distance to the lowest polymorph of the same formula   0.151 eV per atom
Magnetic moment   7.10 μB/cell
SG   P3m1 (156)
Calculated formation energy   -400 meV per atom

Cell lengths 4.9259, 4.9259, 3.8543 Å; angles 90.00, 90.00, 120.00 degrees
Atoms (fractional coordinates):
Gd 0.0000 0.0000 0.0000
Y 0.6667 0.3333 0.4659
Au 0.3333 0.6667 0.7092

=====

Entry 4:
The following is a DFT calculation (PBE) of a relaxed NdDy2TmTe5 crystal.

Calculated values
ΔE_f (raw)   -0.70 eV/atom
Magnetic moment   0.57 μB/cell
SG   P4/mmm (123)

Cell lengths 5.4856, 5.4856, 11.7507 Å; angles 90.00, 90.00, 90.00 degrees
Atoms (fractional coordinates):
Nd 0.0000 0.0000 0.0000
Dy 0.5000 0.5000 0.3526
Dy 0.5000 0.5000 0.6474
Tm 0.0000 0.0000 0.5000
Te 0.0000 0.0000 0.2516
Te 0.0000 0.0000 0.7484
Te 0.0000 0.5000 0.5000
Te 0.5000 0.0000 0.5000
Te 0.5000 0.5000 0.0000

=====

Entry 5:
The following is a DFT calculation (PBE) of a relaxed Pm6AgRu2Br3 crystal.

Calculated values
ΔE_f (raw)   -0.80 eV/atom
Magnetic moment   0.00 μB/cell
SG   C2/m (12)

Cell lengths 7.1714, 7.1714, 8.1977 Å; angles 98.34, 98.34, 120.03 degrees
Atoms (fractional coordinates):
Pm 0.0725 0.4334 0.8000
Pm 0.2047 0.2047 0.1992
Pm 0.4334 0.0725 0.8000
Pm 0.5666 0.9275 0.2000
Pm 0.7953 0.7953 0.8008
Pm 0.9275 0.5666 0.2000
Ag 0.5000 0.5000 0.0000
Ru 0.1666 0.8334 0.0000
Ru 0.8334 0.1666 0.0000
Br 0.0000 0.0000 0.5000
Br 0.3315 0.6685 0.5000
Br 0.6685 0.3315 0.5000

=====

Entry 6:
The following is a DFT calculation (PBE) of a relaxed SrLiBr crystal.

Calculated values
ΔE_f (raw)   -0.82 eV/atom
Distance to the lowest polymorph of the same formula   0.129 eV per atom
Magnetic moment   0.00 μB/cell
SG   I4mm (107)

Cell lengths 3.8850, 3.8850, 14.2709 Å; angles 90.00, 90.00, 90.00 degrees
Atoms (fractional coordinates):
Sr 0.0000 0.0000 0.0000
Sr 0.5000 0.5000 0.5000
Li 0.0000 0.0000 0.6788
Li 0.5000 0.5000 0.1788
Br 0.0000 0.0000 0.3789
Br 0.5000 0.5000 0.8789

=====

Entry 7:
The following is a DFT calculation (PBE) of a relaxed Ce3ErSb2 crystal.

Calculated values
ΔE_f (raw)   -0.63 eV/atom
Magnetic moment   3.58 μB/cell
SG   C2/m (12)

Cell lengths 9.3553, 9.3553, 9.5146 Å; angles 111.20, 111.20, 25.38 degrees
Atoms (fractional coordinates):
Ce 0.0702 0.0702 0.1167
Ce 0.2965 0.2965 0.5760
Ce 0.3669 0.3669 0.0104
Ce 0.6331 0.6331 0.9896
Ce 0.7035 0.7035 0.4240
Ce 0.9298 0.9298 0.8833
Er 0.1005 0.1005 0.6121
Er 0.8995 0.8995 0.3879
Sb 0.2641 0.2641 0.2211
Sb 0.4814 0.4814 0.6693
Sb 0.5186 0.5186 0.3307
Sb 0.7359 0.7359 0.7789

=====

Entry 8:
The following is a DFT calculation (PBE) of a relaxed Na2TlTe crystal.

Calculated values
ΔE_f (raw)   -0.46 eV/atom
Distance to the lowest polymorph of the same formula   0.075 eV per atom
Magnetic moment   0.00 μB/cell
SG   Fm-3m (225)

Cell lengths 7.7820, 7.7820, 7.7820 Å; angles 90.00, 90.00, 90.00 degrees
Atoms (fractional coordinates):
Na 0.2500 0.2500 0.2500
Na 0.2500 0.2500 0.7500
Na 0.2500 0.7500 0.2500
Na 0.2500 0.7500 0.7500
Na 0.7500 0.2500 0.2500
Na 0.7500 0.2500 0.7500
Na 0.7500 0.7500 0.2500
Na 0.7500 0.7500 0.7500
Tl 0.0000 0.0000 0.0000
Tl 0.0000 0.5000 0.5000
Tl 0.5000 0.0000 0.5000
Tl 0.5000 0.5000 0.0000
Te 0.0000 0.0000 0.5000
Te 0.0000 0.5000 0.0000
Te 0.5000 0.0000 0.0000
Te 0.5000 0.5000 0.5000

=====

Entry 9:
The following is a DFT calculation (PBE) of a relaxed La10PmEr4 crystal.

Calculated values
Magnetic moment   0.00 μB/cell
SG   I4/mmm (139)
Calculated formation energy   202 meV per atom

Cell lengths 9.1018, 9.1018, 9.1018 Å; angles 100.97, 100.97, 128.28 degrees
Atoms (fractional coordinates):
La 0.0085 0.7901 0.2184
La 0.2099 0.4283 0.2184
La 0.2099 0.9915 0.7816
La 0.2500 0.7500 0.5000
La 0.4283 0.2099 0.2184
La 0.5717 0.7901 0.7816
La 0.7500 0.2500 0.5000
La 0.7901 0.0085 0.2184
La 0.7901 0.5717 0.7816
La 0.9915 0.2099 0.7816
Pm 0.5000 0.5000 0.0000
Er 0.2700 0.2700 0.5401
Er 0.2700 0.7300 0.0000
Er 0.7300 0.2700 0.0000
Er 0.7300 0.7300 0.4599

=====

Entry 10:
The following is a DFT calculation (PBE) of a relaxed NaMoSeBr2 crystal.

Calculated values
ΔE_f (raw)   0.61 eV/atom
Distance to the lowest polymorph of the same formula   1.027 eV per atom
Magnetic moment   2.99 μB/cell
SG   P4/mmm (123)

Cell lengths 5.1830, 5.1830, 5.3984 Å; angles 90.00, 90.00, 90.00 degrees
Atoms (fractional coordinates):
Na 0.0000 0.0000 0.0000
Mo 0.5000 0.5000 0.5000
Se 0.0000 0.0000 0.5000
Br 0.0000 0.5000 0.0000
Br 0.5000 0.0000 0.0000

=====

Entry 11:
The following is a DFT calculation (PBE) of a relaxed Rb2HgPdO crystal.

Calculated values
ΔE_f (raw)   -0.50 eV/atom
Magnetic moment   0.00 μB/cell
SG   P4/mmm (123)

Cell lengths 6.0121, 6.0121, 4.0157 Å; angles 90.00, 90.00, 90.00 degrees
Atoms (fractional coordinates):
Rb 0.0000 0.5000 0.0000
Rb 0.5000 0.0000 0.0000
Hg 0.0000 0.0000 0.5000
Pd 0.5000 0.5000 0.5000
O 0.5000 0.5000 0.0000

=====

Entry 12:
The following is a DFT calculation (PBE) of a relaxed SmMg4Zn crystal.

Calculated values
Distance to the lowest polymorph of the same formula   0.101 eV per atom
Magnetic moment   0.00 μB/cell
SG   C2/m (12)
Calculated formation energy   -18 meV per atom

Cell lengths 8.9126, 8.9126, 5.2645 Å; angles 107.12, 107.12, 47.15 degrees
Atoms (fractional coordinates):
Sm 0.2055 0.2055 0.2056
Sm 0.7945 0.7945 0.7944
Mg 0.1091 0.6583 0.3837
Mg 0.1870 0.8130 0.0000
Mg 0.3343 0.3343 0.8345
Mg 0.3417 0.8909 0.6163
Mg 0.6583 0.1091 0.3837
Mg 0.6657 0.6657 0.1655
Mg 0.8130 0.1870 0.0000
Mg 0.8909 0.3417 0.6163
Zn 0.4999 0.4999 0.2666
Zn 0.5001 0.5001 0.7334

=====

Entry 13:
The following is a DFT calculation (PBE) of a relaxed LiCo2Cu crystal.

Calculated values
Magnetic moment   3.14 μB/cell
SG   P4/mmm (123)
Calculated formation energy   306 meV per atom

Cell lengths 4.2599, 4.2599, 2.5333 Å; angles 90.00, 90.00, 90.00 degrees
Atoms (fractional coordinates):
Li 0.0000 0.0000 0.0000
Co 0.0000 0.5000 0.5000
Co 0.5000 0.0000 0.5000
Cu 0.5000 0.5000 0.0000

=====

Entry 14:
The following is a DFT calculation (PBE) of a relaxed Nd4Zn3Ni crystal.

Calculated values
Distance to the lowest polymorph of the same formula   0.021 eV per atom
Magnetic moment   0.00 μB/cell
SG   Pmm2 (25)
Calculated formation energy   -267 meV per atom

Cell lengths 3.8027, 4.5718, 11.3913 Å; angles 90.00, 90.00, 90.00 degrees
Atoms (fractional coordinates):
Nd 0.0000 0.0000 0.0000
Nd 0.0000 0.5000 0.2712
Nd 0.5000 0.0000 0.4694
Nd 0.5000 0.5000 0.7820
Zn 0.0000 0.0000 0.6947
Zn 0.0000 0.5000 0.5590
Zn 0.5000 0.5000 0.0651
Ni 0.5000 0.0000 0.1907

=====

Entry 15:
The following is a DFT calculation (PBE) of a relaxed LaTb2CdHg4 crystal.

Calculated values
Magnetic moment   0.00 μB/cell
SG   R-3m (166)
Calculated formation energy   -416 meV per atom

Cell lengths 9.7507, 9.7507, 9.7507 Å; angles 30.49, 30.49, 30.49 degrees
Atoms (fractional coordinates):
La 0.0000 0.0000 0.0000
Tb 0.2378 0.2378 0.2378
Tb 0.7622 0.7622 0.7622
Cd 0.5000 0.5000 0.5000
Hg 0.1243 0.1243 0.1243
Hg 0.3822 0.3822 0.3822
Hg 0.6178 0.6178 0.6178
Hg 0.8757 0.8757 0.8757

=====

Entry 16:
The following is a DFT calculation (PBE) of a relaxed BaNd2CrN4 crystal.

Calculated values
ΔE_f (raw)   -1.01 eV/atom
Magnetic moment   3.47 μB/cell
SG   Cmcm (63)

Cell lengths 6.5474, 6.5474, 12.1383 Å; angles 90.00, 90.00, 148.39 degrees
Atoms (fractional coordinates):
Ba 0.0849 0.9151 0.7500
Ba 0.9151 0.0849 0.2500
Nd 0.3694 0.6306 0.5421
Nd 0.3694 0.6306 0.9579
Nd 0.6306 0.3694 0.0421
Nd 0.6306 0.3694 0.4579
Cr 0.1828 0.8172 0.2500
Cr 0.8172 0.1828 0.7500
N 0.0000 0.0000 0.0000
N 0.0000 0.0000 0.5000
N 0.2584 0.7416 0.1264
N 0.2584 0.7416 0.3736
N 0.3900 0.6100 0.7500
N 0.6100 0.3900 0.2500
N 0.7416 0.2584 0.6264
N 0.7416 0.2584 0.8736

=====

Entry 17:
The following is a DFT calculation (PBE) of a relaxed TbNd2Th crystal.

Calculated values
Distance to the lowest polymorph of the same formula   0.176 eV per atom
Magnetic moment   0.01 μB/cell
SG   Fm-3m (225)
Calculated formation energy   206 meV per atom

Cell lengths 8.1401, 8.1401, 8.1401 Å; angles 90.00, 90.00, 90.00 degrees
Atoms (fractional coordinates):
Tb 0.0000 0.0000 0.0000
Tb 0.0000 0.5000 0.5000
Tb 0.5000 0.0000 0.5000
Tb 0.5000 0.5000 0.0000
Nd 0.2500 0.2500 0.2500
Nd 0.2500 0.2500 0.7500
Nd 0.2500 0.7500 0.2500
Nd 0.2500 0.7500 0.7500
Nd 0.7500 0.2500 0.2500
Nd 0.7500 0.2500 0.7500
Nd 0.7500 0.7500 0.2500
Nd 0.7500 0.7500 0.7500
Th 0.0000 0.0000 0.5000
Th 0.0000 0.5000 0.0000
Th 0.5000 0.0000 0.0000
Th 0.5000 0.5000 0.5000

=====

Entry 18:
The following is a DFT calculation (PBE) of a relaxed K3C crystal.

Calculated values
Distance to the lowest polymorph of the same formula   0.174 eV per atom
Magnetic moment   7.97 μB/cell
SG   P6_3/mmc (194)
Calculated formation energy   1222 meV per atom

Cell lengths 9.4024, 9.4024, 8.8111 Å; angles 90.00, 90.00, 120.00 degrees
Atoms (fractional coordinates):
K 0.0000 0.5000 0.0000
K 0.0000 0.5000 0.5000
K 0.1209 0.2418 0.2500
K 0.1209 0.8791 0.2500
K 0.2418 0.1209 0.7500
K 0.5000 0.0000 0.0000
K 0.5000 0.0000 0.5000
K 0.5000 0.5000 0.0000
K 0.5000 0.5000 0.5000
K 0.7582 0.8791 0.2500
K 0.8791 0.1209 0.7500
K 0.8791 0.7582 0.7500
C 0.0000 0.0000 0.0000
C 0.0000 0.0000 0.5000
C 0.3333 0.6667 0.7500
C 0.6667 0.3333 0.2500

=====

Entry 19:
The following is a DFT calculation (PBE) of a relaxed MgIn2Rh crystal.

Calculated values
Magnetic moment   0.00 μB/cell
SG   I4/mmm (139)
Calculated formation energy   -247 meV per atom

Cell lengths 4.2637, 4.2637, 8.2439 Å; angles 90.00, 90.00, 90.00 degrees
Atoms (fractional coordinates):
Mg 0.0000 0.0000 0.0000
Mg 0.5000 0.5000 0.5000
In 0.0000 0.5000 0.2500
In 0.0000 0.5000 0.7500
In 0.5000 0.0000 0.2500
In 0.5000 0.0000 0.7500
Rh 0.0000 0.0000 0.5000
Rh 0.5000 0.5000 0.0000

=====

Entry 20:
The following is a DFT calculation (PBE) of a relaxed LiSmGdEr crystal.

Calculated values
Magnetic moment   29.03 μB/cell
SG   F-43m (216)
Calculated formation energy   160 meV per atom

Cell lengths 7.7874, 7.7874, 7.7874 Å; angles 90.00, 90.00, 90.00 degrees
Atoms (fractional coordinates):
Li 0.0000 0.0000 0.0000
Li 0.0000 0.5000 0.5000
Li 0.5000 0.0000 0.5000
Li 0.5000 0.5000 0.0000
Sm 0.2500 0.2500 0.2500
Sm 0.2500 0.7500 0.7500
Sm 0.7500 0.2500 0.7500
Sm 0.7500 0.7500 0.2500
Gd 0.2500 0.2500 0.7500
Gd 0.2500 0.7500 0.2500
Gd 0.7500 0.2500 0.2500
Gd 0.7500 0.7500 0.7500
Er 0.0000 0.0000 0.5000
Er 0.0000 0.5000 0.0000
Er 0.5000 0.0000 0.0000
Er 0.5000 0.5000 0.5000

=====

Entry 21:
The following is a DFT calculation (PBE) of a relaxed ScIr2Pb2 crystal.

Calculated values
Magnetic moment   0.00 μB/cell
SG   P4/mbm (127)
Calculated formation energy   -28 meV per atom

Cell lengths 6.9931, 6.9931, 4.2930 Å; angles 90.00, 90.00, 90.00 degrees
Atoms (fractional coordinates):
Sc 0.0000 0.0000 0.0000
Sc 0.5000 0.5000 0.0000
Ir 0.1319 0.3681 0.0000
Ir 0.3681 0.8681 0.0000
Ir 0.6319 0.1319 0.0000
Ir 0.8681 0.6319 0.0000
Pb 0.1766 0.6766 0.5000
Pb 0.3234 0.1766 0.5000
Pb 0.6766 0.8234 0.5000
Pb 0.8234 0.3234 0.5000

=====

Entry 22:
The following is a DFT calculation (PBE) of a relaxed Tb8Sb3Se4 crystal.

Calculated values
ΔE_f (raw)   -1.35 eV/atom
Magnetic moment   0.00 μB/cell
SG   C2/m (12)

Cell lengths 8.4202, 8.4202, 8.3890 Å; angles 119.80, 119.80, 90.07 degrees
Atoms (fractional coordinates):
Tb 0.2414 0.2414 0.4905
Tb 0.2408 0.2408 0.9912
Tb 0.2452 0.7548 0.0000
Tb 0.2463 0.7537 0.5000
Tb 0.7537 0.2463 0.5000
Tb 0.7548 0.2452 0.0000
Tb 0.7592 0.7592 0.0088
Tb 0.7586 0.7586 0.5095
Sb 0.0000 0.5000 0.5000
Sb 0.5000 0.0000 0.5000
Sb 0.5000 0.5000 0.0000
Se 0.0000 0.0000 0.0000
Se 0.0000 0.0000 0.5000
Se 0.0000 0.5000 0.0000
Se 0.5000 0.0000 0.0000

=====

Entry 23:
The following is a DFT calculation (PBE) of a relaxed Li2YAu6 crystal.

Calculated values
Distance to the lowest polymorph of the same formula   0.053 eV per atom
Magnetic moment   0.00 μB/cell
SG   Immm (71)
Calculated formation energy   -450 meV per atom

Cell lengths 8.1887, 8.1887, 8.1887 Å; angles 157.84, 121.76, 63.10 degrees
Atoms (fractional coordinates):
Li 0.1448 0.1448 0.0000
Li 0.8552 0.8552 0.0000
Y 0.5000 0.0000 0.5000
Au 0.1481 0.3232 0.8249
Au 0.1708 0.5000 0.6708
Au 0.4983 0.3232 0.1751
Au 0.5017 0.6768 0.8249
Au 0.8292 0.5000 0.3292
Au 0.8519 0.6768 0.1751

=====

Entry 24:
The following is a DFT calculation (PBE) of a relaxed Cd2NiPd crystal.

Calculated values
Magnetic moment   0.00 μB/cell
SG   P4/mmm (123)
Calculated formation energy   -151 meV per atom

Cell lengths 4.2622, 4.2622, 3.6440 Å; angles 90.00, 90.00, 90.00 degrees
Atoms (fractional coordinates):
Cd 0.0000 0.5000 0.0000
Cd 0.5000 0.0000 0.0000
Ni 0.0000 0.0000 0.5000
Pd 0.5000 0.5000 0.5000